DFT (PBE) results for a relaxed structure of Ta2H.

Computed properties:
Calculated total energy ... -108.491 eV for the cell shown

Geometry as POSCAR:
```
Ta2H
1.0
5.294 0.000 0.000
0.007 5.424 0.000
1.731 0.018 5.514
Ta H
8 4
Cartesian
1.470 0.660 0.696
2.385 0.726 3.401
2.007 3.436 2.134
2.919 3.381 4.845
4.112 2.061 0.670
5.024 2.006 3.380
4.646 4.715 2.113
5.561 4.781 4.819
0.714 2.435 0.979
3.659 5.157 4.580
3.372 0.285 0.934
6.317 3.007 4.535
```